1.
VASP calculation (PBE) on a relaxed structure of K5AuI2O.

Cell lengths 4.909, 10.055, 14.674 Å; angles 90.00, 90.00, 104.13 degrees
Site moments in Bohr magnetons follow the coordinates.
Element x y z (fractional)
K: 0.395 0.789 0.001  0.00
K: 0.646 0.293 0.888  0.00
K: 0.481 0.962 0.786  0.00
K: 0.277 0.554 0.670  0.00
K: 0.963 0.925 0.507  0.00
K: 0.605 0.211 0.501  0.00
K: 0.354 0.707 0.388  0.00
K: 0.519 0.038 0.286  0.00
K: 0.723 0.446 0.170  0.00
K: 0.037 0.075 0.007  0.00
Au: 0.784 0.568 0.517  0.00
Au: 0.216 0.432 0.017  0.00
I: 0.845 0.691 0.817  0.00
I: 0.099 0.198 0.692  0.00
I: 0.155 0.309 0.317  0.00
I: 0.901 0.802 0.192  0.00
O: 0.521 0.042 0.946  0.08
O: 0.479 0.958 0.446  0.08

## Properties
As for the total energy: -2.92 eV/atom. The raw formation energy comes out at -1.05 eV/atom. Its space group is Cmc2_1 (36).

---

2.
VASP calculation (PBE) on a relaxed structure of Nd5YTe4.

Cell lengths 4.298, 8.693, 9.633 Å; angles 101.69, 102.89, 90.00 degrees
Element x y z (fractional)
Nd: 0.183 0.357 0.366
Nd: 0.167 0.805 0.333
Nd: 0.833 0.195 0.667
Nd: 0.500 0.500 0.000
Nd: 0.817 0.643 0.634
Y: 0.500 0.000 0.000
Te: 0.665 0.074 0.329
Te: 0.008 0.247 0.016
Te: 0.335 0.926 0.671
Te: 0.992 0.753 0.984

## Properties
As for the total energy: -5.29 eV/atom. The raw formation energy comes out at -1.01 eV/atom. Its space group is C2/m (12).

---

3.
VASP calculation (PBE) on a relaxed structure of ZrCd2Sn2.

Cell lengths 7.980, 7.980, 3.832 Å; angles 90.00, 90.00, 90.00 degrees
Element x y z (fractional)
Sn: 0.346 0.846 0.000
Sn: 0.846 0.654 0.000
Sn: 0.654 0.154 0.000
Sn: 0.154 0.346 0.000
Zr: 0.000 0.000 0.000
Zr: 0.500 0.500 0.000
Cd: 0.148 0.648 0.500
Cd: 0.648 0.852 0.500
Cd: 0.852 0.352 0.500
Cd: 0.352 0.148 0.500

## Properties
As for the total energy: -3.61 eV/atom. For the energy above the lowest structure with this stoichiometry, the calculation gives 0.00 eV/f.u. The formation enthalpy at 0 K is 0.07 eV/atom. Its space group is P4/mbm (127).

---

4.
VASP calculation (PBE) on a relaxed structure of SbTe2Rh.

Cell lengths 3.212, 3.212, 9.579 Å; angles 90.00, 90.00, 90.00 degrees
Element x y z (fractional)
Sb: 0.500 0.500 0.500
Te: 0.000 0.000 0.819
Te: 0.000 0.000 0.181
Rh: 0.500 0.500 0.000

## Properties
As for the total energy: -4.35 eV/atom. The raw formation energy comes out at 0.09 eV/atom. Its space group is P4/mmm (123).

---

5.
VASP calculation (PBE) on a relaxed structure of Pm2Nd2Y2Er.

Cell lengths 5.747, 5.747, 8.902 Å; angles 71.17, 71.17, 60.00 degrees
Element x y z (fractional)
Pm: 0.140 0.140 0.581
Pm: 0.860 0.860 0.419
Nd: 0.714 0.714 0.857
Nd: 0.286 0.286 0.143
Y: 0.571 0.571 0.288
Y: 0.429 0.429 0.712
Er: 0.000 0.000 0.000

## Properties
As for the total energy: -5.10 eV/atom. The formation enthalpy at 0 K is 0.12 eV/atom. Its space group is R-3m (166).

---

6.
VASP calculation (PBE) on a relaxed structure of KNaHg3.

Cell lengths 5.767, 5.767, 5.767 Å; angles 90.00, 90.00, 90.00 degrees
Element x y z (fractional)
Na: 0.000 0.000 0.000
K: 0.500 0.500 0.500
Hg: 0.000 0.500 0.000
Hg: 0.000 0.000 0.500
Hg: 0.500 0.000 0.000

## Properties
As for the total energy: -0.74 eV/atom. For the energy above the lowest structure with this stoichiometry, the calculation gives 0.88 eV/f.u. The formation enthalpy at 0 K is -0.08 eV/atom. Its space group is Pm-3m (221).

---

7.
VASP calculation (PBE) on a relaxed structure of MgCoIr2.

Cell lengths 5.210, 5.210, 5.210 Å; angles 148.09, 130.06, 60.50 degrees
Site moments in Bohr magnetons follow the coordinates.
Element x y z (fractional)
Co: 0.242 0.742 0.500  1.66
Ir: 0.007 0.007 0.000  0.36
Ir: 0.757 0.257 0.500  0.38
Mg: 0.494 0.494 0.000  0.00

## Properties
As for the total energy: -6.59 eV/atom. The formation enthalpy at 0 K is 0.02 eV/atom. Its space group is Imm2 (44).

---

8.
VASP calculation (PBE) on a relaxed structure of Mg2Os.

Cell lengths 5.143, 5.143, 8.830 Å; angles 90.00, 90.00, 120.00 degrees
Element x y z (fractional)
Mg: 0.000 0.000 0.000
Mg: 0.000 0.000 0.500
Mg: 0.172 0.345 0.750
Mg: 0.172 0.828 0.750
Mg: 0.345 0.172 0.250
Mg: 0.655 0.828 0.750
Mg: 0.828 0.172 0.250
Mg: 0.828 0.655 0.250
Os: 0.333 0.667 0.021
Os: 0.333 0.667 0.479
Os: 0.667 0.333 0.521
Os: 0.667 0.333 0.979

## Properties
As for the total energy: -4.12 eV/atom. The formation enthalpy at 0 K is 0.69 eV/atom. Its space group is P6_3/mmc (194).

---

9.
VASP calculation (PBE) on a relaxed structure of KTl3In.

Cell lengths 5.919, 5.919, 5.919 Å; angles 90.00, 90.00, 90.00 degrees
Element x y z (fractional)
Tl: 0.000 0.500 0.000
Tl: 0.000 0.000 0.500
Tl: 0.500 0.000 0.000
K: 0.500 0.500 0.500
In: 0.000 0.000 0.000

## Properties
As for the total energy: -2.06 eV/atom. For the energy above the lowest structure with this stoichiometry, the calculation gives 0.96 eV/f.u. The formation enthalpy at 0 K is 0.12 eV/atom. Its space group is Pm-3m (221).

---

10.
VASP calculation (PBE) on a relaxed structure of BaTmP2.

Cell lengths 4.235, 4.235, 7.545 Å; angles 73.70, 73.70, 60.00 degrees
Element x y z (fractional)
P: 0.267 0.267 0.200
P: 0.733 0.733 0.800
Tm: 0.000 0.000 0.000
Ba: 0.500 0.500 0.500

## Properties
As for the total energy: -5.38 eV/atom. The formation enthalpy at 0 K is -1.07 eV/atom. Its space group is R-3m (166).

---

11.
VASP calculation (PBE) on a relaxed structure of Ba6Li15Cd8.

Cell lengths 10.511, 10.511, 10.511 Å; angles 60.00, 60.00, 60.00 degrees
Element x y z (fractional)
Ba: 0.721 0.721 0.279
Ba: 0.279 0.279 0.721
Ba: 0.721 0.279 0.279
Ba: 0.279 0.721 0.721
Ba: 0.721 0.279 0.721
Ba: 0.279 0.721 0.279
Li: 0.038 0.321 0.321
Li: 0.962 0.679 0.679
Li: 0.321 0.321 0.038
Li: 0.321 0.321 0.321
Li: 0.679 0.679 0.962
Li: 0.679 0.679 0.679
Li: 0.321 0.038 0.321
Li: 0.679 0.962 0.679
Li: 0.500 0.500 0.000
Li: 0.000 0.000 0.500
Li: 0.500 0.000 0.000
Li: 0.000 0.500 0.500
Li: 0.500 0.000 0.500
Li: 0.000 0.500 0.000
Li: 0.000 0.000 0.000
Cd: 0.605 0.132 0.132
Cd: 0.395 0.868 0.868
Cd: 0.132 0.132 0.605
Cd: 0.132 0.132 0.132
Cd: 0.868 0.868 0.395
Cd: 0.868 0.868 0.868
Cd: 0.132 0.605 0.132
Cd: 0.868 0.395 0.868

## Properties
As for the total energy: -1.80 eV/atom. The formation enthalpy at 0 K is -0.16 eV/atom. Its space group is Fm-3m (225).

---

12.
VASP calculation (PBE) on a relaxed structure of AlHOs2Rh.

Cell lengths 4.786, 2.875, 4.786 Å; angles 90.00, 90.00, 90.00 degrees
Element x y z (fractional)
Rh: 0.500 0.500 0.500
Os: 0.000 0.000 0.500
Os: 0.500 0.000 0.000
Al: 0.000 0.000 0.000
H: 0.000 0.500 0.000

## Properties
As for the total energy: -6.32 eV/atom. Its space group is P4/mmm (123).

---

13.
VASP calculation (PBE) on a relaxed structure of Pr7FeI12.

Cell lengths 10.068, 10.068, 10.068 Å; angles 106.87, 106.87, 106.87 degrees
Site moments in Bohr magnetons follow the coordinates.
Element x y z (fractional)
Pr: 0.796 0.523 0.596  0.11
Pr: 0.523 0.596 0.796  0.11
Pr: 0.204 0.477 0.404  0.11
Pr: 0.477 0.404 0.204  0.11
Pr: 0.000 0.000 0.000  0.02
Pr: 0.596 0.796 0.523  0.11
Pr: 0.404 0.204 0.477  0.11
Fe: 0.500 0.500 0.500  -0.29
I: 0.726 0.181 0.574  0.00
I: 0.965 0.884 0.658  0.00
I: 0.574 0.726 0.181  0.00
I: 0.116 0.342 0.035  0.00
I: 0.658 0.965 0.884  0.00
I: 0.884 0.658 0.965  0.00
I: 0.035 0.116 0.342  0.00
I: 0.819 0.426 0.274  0.00
I: 0.342 0.035 0.116  0.00
I: 0.274 0.819 0.426  0.00
I: 0.181 0.574 0.726  0.00
I: 0.426 0.274 0.819  0.00

## Properties
As for the total energy: -4.23 eV/atom. The raw formation energy comes out at -1.21 eV/atom. Its space group is R-3 (148).

---

14.
VASP calculation (PBE) on a relaxed structure of NbInN.

Cell lengths 3.032, 6.031, 5.696 Å; angles 89.95, 90.01, 75.52 degrees
Element x y z (fractional)
Nb: 0.835 0.532 0.945
Nb: 0.762 0.682 0.445
In: 0.568 0.064 0.945
In: 0.029 0.149 0.445
N: 0.298 0.607 0.195
N: 0.298 0.607 0.695

## Properties
As for the total energy: -7.41 eV/atom. The raw formation energy comes out at -0.37 eV/atom. For the energy above the lowest structure with this stoichiometry, the calculation gives 0.43 eV/f.u. Its space group is P-1 (2).

---

15.
VASP calculation (PBE) on a relaxed structure of Ba4CdAsI2.

Cell lengths 4.844, 8.755, 8.918 Å; angles 107.81, 90.00, 90.00 degrees
Site moments in Bohr magnetons follow the coordinates.
Element x y z (fractional)
Ba: 0.500 0.257 0.220  0.12
Ba: 0.500 0.743 0.780  0.12
Ba: 0.000 0.277 0.791  0.08
Ba: 0.000 0.723 0.209  0.08
Cd: 0.000 0.000 0.000  0.14
As: 0.500 0.500 0.000  0.01
I: 0.500 0.000 0.500  0.01
I: 0.000 0.500 0.500  0.01

## Properties
As for the total energy: -3.12 eV/atom. The raw formation energy comes out at -1.07 eV/atom. Its space group is P2/m (10).

---

16.
VASP calculation (PBE) on a relaxed structure of ErTcN2.

Cell lengths 3.180, 3.180, 5.775 Å; angles 74.02, 74.02, 60.00 degrees
Site moments in Bohr magnetons follow the coordinates.
Element x y z (fractional)
Er: 0.668 0.668 0.995  0.06
Tc: 0.492 0.492 0.525  0.86
N: 0.092 0.092 0.724  -0.01
N: 0.248 0.248 0.256  0.12

## Properties
As for the total energy: -8.34 eV/atom. The raw formation energy comes out at -0.45 eV/atom. For the energy above the lowest structure with this stoichiometry, the calculation gives 1.94 eV/f.u. Its space group is R3m (160).

---

17.
VASP calculation (PBE) on a relaxed structure of Pm12PrSi6.

Cell lengths 8.602, 8.602, 8.602 Å; angles 103.46, 103.46, 103.46 degrees
Element x y z (fractional)
Pm: 0.878 0.122 0.500
Pm: 0.823 0.557 0.557
Pm: 0.557 0.557 0.823
Pm: 0.443 0.177 0.443
Pm: 0.443 0.443 0.177
Pm: 0.177 0.443 0.443
Pm: 0.122 0.500 0.878
Pm: 0.500 0.878 0.122
Pm: 0.122 0.878 0.500
Pm: 0.878 0.500 0.122
Pm: 0.500 0.122 0.878
Pm: 0.557 0.823 0.557
Pr: 0.000 0.000 0.000
Si: 0.699 0.250 0.250
Si: 0.250 0.250 0.699
Si: 0.250 0.699 0.250
Si: 0.750 0.750 0.301
Si: 0.301 0.750 0.750
Si: 0.750 0.301 0.750

## Properties
As for the total energy: -5.29 eV/atom. The raw formation energy comes out at -0.32 eV/atom. Its space group is R-3m (166).

---

18.
VASP calculation (PBE) on a relaxed structure of Cs2NdZn3F12.

Cell lengths 7.744, 7.744, 7.744 Å; angles 58.51, 58.51, 58.51 degrees
Element x y z (fractional)
Cs: 0.613 0.613 0.613
Cs: 0.387 0.387 0.387
Nd: 0.000 0.000 0.000
Zn: 0.500 0.000 0.000
Zn: 0.000 0.500 0.000
Zn: 0.000 0.000 0.500
F: 0.299 0.299 0.914
F: 0.906 0.906 0.365
F: 0.365 0.906 0.906
F: 0.914 0.299 0.299
F: 0.906 0.365 0.906
F: 0.299 0.914 0.299
F: 0.701 0.701 0.086
F: 0.094 0.094 0.635
F: 0.635 0.094 0.094
F: 0.086 0.701 0.701
F: 0.094 0.635 0.094
F: 0.701 0.086 0.701

## Properties
As for the total energy: -4.54 eV/atom. The raw formation energy comes out at -2.72 eV/atom. Its space group is R-3m (166).

---

19.
VASP calculation (PBE) on a relaxed structure of Ho5BS4.

Cell lengths 5.464, 6.719, 6.719 Å; angles 80.48, 66.01, 66.01 degrees
Element x y z (fractional)
Ho: 0.908 0.373 0.814
Ho: 0.281 0.814 0.627
Ho: 0.721 0.186 0.373
Ho: 0.094 0.627 0.186
Ho: 0.501 0.000 0.000
B: 0.001 0.000 0.000
S: 0.406 0.398 0.793
S: 0.804 0.793 0.602
S: 0.198 0.207 0.398
S: 0.596 0.602 0.207

## Properties
As for the total energy: -6.32 eV/atom. The raw formation energy comes out at -1.72 eV/atom. Its space group is I4/m (87).

---

20.
VASP calculation (PBE) on a relaxed structure of CrSiMo2.

Cell lengths 6.653, 6.653, 5.440 Å; angles 52.30, 52.30, 90.00 degrees
Element x y z (fractional)
Cr: 0.000 0.000 0.000
Cr: 0.750 0.250 0.500
Mo: 0.632 0.125 0.250
Mo: 0.118 0.625 0.250
Mo: 0.375 0.368 0.750
Mo: 0.875 0.882 0.750
Si: 0.500 0.500 0.000
Si: 0.250 0.750 0.500

## Properties
As for the total energy: -8.62 eV/atom. The raw formation energy comes out at 0.56 eV/atom. Its space group is I-42d (122).

---

21.
VASP calculation (PBE) on a relaxed structure of ZrFeCu.

Cell lengths 3.995, 3.995, 6.493 Å; angles 107.92, 107.92, 90.00 degrees
Site moments in Bohr magnetons follow the coordinates.
Element x y z (fractional)
Cu: 0.119 0.119 0.237  0.00
Cu: 0.881 0.881 0.763  0.00
Fe: 0.000 0.500 0.000  0.36
Fe: 0.500 0.000 0.000  0.36
Zr: 0.648 0.648 0.297  -0.09
Zr: 0.352 0.352 0.703  -0.09

## Properties
As for the total energy: -7.03 eV/atom. The formation enthalpy at 0 K is 0.01 eV/atom. Its space group is I4/mmm (139).

---

22.
VASP calculation (PBE) on a relaxed structure of Ti3PtO.

Cell lengths 3.916, 3.916, 13.620 Å; angles 90.00, 90.00, 120.00 degrees
Element x y z (fractional)
O: 0.000 0.000 0.000
O: 0.000 0.000 0.500
Pt: 0.333 0.667 0.750
Pt: 0.667 0.333 0.250
Ti: 0.000 0.000 0.250
Ti: 0.000 0.000 0.750
Ti: 0.333 0.667 0.941
Ti: 0.333 0.667 0.559
Ti: 0.667 0.333 0.441
Ti: 0.667 0.333 0.059

## Properties
As for the total energy: -7.29 eV/atom. The raw formation energy comes out at -0.35 eV/atom. Its space group is P6_3/mmc (194).